The following is a DFT calculation (PBE) of a relaxed CsKHBr crystal.

Properties
VASP energy (eV per atom): -2.586
ΔE to the lowest computed polymorph (meV per atom): 3
Crystal system: trigonal
Total magnetic moment (μB per formula unit): 0.01

Cell: 5.829 5.829 12.311 Å, 76.31 76.31 60.00°
Atoms (fractional coordinates):
H (0.702, 0.702, 0.893)
H (0.298, 0.298, 0.107)
Cs (0.214, 0.214, 0.357)
Cs (0.786, 0.786, 0.643)
K (0.631, 0.631, 0.107)
K (0.369, 0.369, 0.893)
Br (0.894, 0.894, 0.319)
Br (0.106, 0.106, 0.681)


The following is a DFT calculation (PBE) of a relaxed CsKHBr crystal.

Properties
VASP energy (eV per atom): -2.589
ΔE to the lowest computed polymorph (meV per atom): 0
Crystal system: cubic
Total magnetic moment (μB per formula unit): 0.05

Cell: 5.728 5.728 5.728 Å, 60.00 60.00 60.00°
Atoms (fractional coordinates):
H (0.750, 0.750, 0.750)
Br (0.250, 0.250, 0.250)
K (0.000, 0.000, 0.000)
Cs (0.500, 0.500, 0.500)


The following is a DFT calculation (PBE) of a relaxed Cs2LaHBr6 crystal.

Properties
VASP energy (eV per atom): -3.346
Crystal system: tetragonal
Total magnetic moment (μB per formula unit): 0.00

Cell: 7.527 7.527 8.316 Å, 63.09 63.09 90.00°
Atoms (fractional coordinates):
La (0.000, 0.000, 0.000)
Br (0.771, 0.771, 0.458)
Br (0.724, 0.724, 0.000)
Br (0.229, 0.229, 0.542)
Br (0.276, 0.276, 0.000)
Br (0.724, 0.276, 0.000)
Br (0.276, 0.724, 0.000)
Cs (0.250, 0.750, 0.500)
Cs (0.750, 0.250, 0.500)
H (0.500, 0.500, 0.000)